1.
First-principles (PBE) data for a relaxed structure of Ca12Ir3F5, as listed in the Alexandria database.

Geometry as POSCAR:
```
Ca12Ir3F5
1.0
-6.615 1.898 11.676
-0.730 -13.064 -3.534
12.990 3.545 1.540
Ca Ir F
48 12 20
Direct
0.967 0.371 0.284
0.087 0.183 0.216
0.784 0.317 0.913
0.317 0.533 0.404
0.913 0.096 0.629
0.371 0.967 0.784
0.683 0.467 0.596
0.904 0.087 0.871
0.183 0.087 0.716
0.904 0.817 0.533
0.467 0.683 0.096
0.716 0.129 0.033
0.033 0.629 0.716
0.096 0.183 0.467
0.871 0.284 0.467
0.587 0.716 0.683
0.716 0.587 0.183
0.404 0.033 0.317
0.413 0.284 0.317
0.284 0.871 0.967
0.284 0.413 0.817
0.404 0.371 0.587
0.784 0.467 0.371
0.371 0.404 0.087
0.596 0.629 0.413
0.533 0.317 0.904
0.533 0.216 0.129
0.967 0.596 0.183
0.871 0.587 0.904
0.033 0.404 0.817
0.216 0.683 0.087
0.683 0.216 0.587
0.817 0.913 0.284
0.587 0.871 0.404
0.467 0.784 0.871
0.413 0.129 0.596
0.317 0.784 0.413
0.087 0.904 0.371
0.817 0.904 0.033
0.129 0.413 0.096
0.096 0.913 0.129
0.216 0.533 0.629
0.129 0.716 0.533
0.596 0.967 0.683
0.913 0.817 0.784
0.629 0.033 0.216
0.183 0.096 0.967
0.629 0.596 0.913
0.125 0.250 0.875
0.375 0.625 0.250
0.875 0.125 0.250
0.250 0.625 0.875
0.125 0.875 0.750
0.625 0.250 0.375
0.875 0.750 0.125
0.250 0.125 0.375
0.750 0.375 0.125
0.625 0.375 0.750
0.750 0.875 0.625
0.375 0.750 0.625
0.375 0.250 0.125
0.125 0.375 0.250
0.500 0.500 0.000
0.500 0.000 0.000
0.625 0.875 0.250
0.500 0.500 0.500
0.000 0.500 0.500
0.625 0.750 0.875
0.000 0.500 0.000
0.750 0.125 0.875
0.875 0.250 0.625
0.250 0.375 0.625
0.750 0.625 0.375
0.000 0.000 0.500
0.500 0.000 0.500
0.250 0.875 0.125
0.125 0.750 0.375
0.875 0.625 0.750
0.375 0.125 0.750
0.000 0.000 0.000
```

Summary:
E_tot = -4.53 eV per atom
E_form (uncorrected) = -1.53 eV/atom



2.
First-principles (PBE) data for a relaxed structure of Ta2CBr, as listed in the Alexandria database.

Geometry as POSCAR:
```
Ta2CBr
1.0
5.264 0.000 0.000
0.000 5.264 0.000
2.632 2.632 5.647
Ta Br C
4 2 2
Direct
0.375 0.488 0.750
0.512 0.125 0.250
0.238 0.625 0.250
0.875 0.762 0.750
0.750 0.250 0.500
0.000 0.000 0.000
0.500 0.500 0.000
0.250 0.750 0.500
```

Summary:
E_tot = -8.07 eV per atom
E_form (uncorrected) = 0.58 eV/atom



3.
First-principles (PBE) data for a relaxed structure of Na2PuAgS4, as listed in the Alexandria database.

Geometry as POSCAR:
```
Na2PuAgS4
1.0
4.010 0.000 0.000
0.000 7.079 -0.346
0.000 2.300 6.013
Na S Pu Ag
2 4 1 1
Direct
0.500 0.000 0.500
0.000 0.000 0.000
0.500 0.723 0.262
0.500 0.277 0.738
0.000 0.729 0.743
0.000 0.271 0.257
0.000 0.500 0.500
0.500 0.500 0.000
```

Summary:
E_tot = -5.52 eV per atom
E_form (uncorrected) = -0.98 eV/atom